This record from Alexandria describes Ta2BrCl at its PBEsol-relaxed geometry. The functional is SCAN.

a = 3.0194 Å, b = 4.6538 Å, c = 5.2237 Å
α = 101.04°, β = 90.00°, γ = 108.93°
Element x y z (fractional)
Br  0.0000  0.0000  0.5000
Cl  0.5000  0.0000  0.0000
Ta  0.7547  0.5094  0.7555
Ta  0.2453  0.4906  0.2445

**Crystal system**: monoclinic
**Formation energy from raw total energies**: 0.40 eV per atom
**ΔE to the lowest computed polymorph**: 13 meV per atom
**Symmetry**: C2/m, No. 12

=====

This record from Alexandria describes TaBrCl3 at its PBEsol-relaxed geometry. The functional is SCAN.

a = 4.7643 Å, b = 4.7643 Å, c = 4.7643 Å
α = 90.00°, β = 90.00°, γ = 90.00°
Element x y z (fractional)
Cl  0.0000  0.0000  0.5000
Cl  0.0000  0.5000  0.0000
Cl  0.5000  0.0000  0.0000
Ta  0.0000  0.0000  0.0000
Br  0.5000  0.5000  0.5000

**Crystal system**: cubic
**Formation energy from raw total energies**: -0.66 eV per atom
**Symmetry**: Pm-3m, No. 221

=====

This record from Alexandria describes TcBrCl2 at its PBEsol-relaxed geometry. The functional is SCAN.

a = 2.8920 Å, b = 3.1868 Å, c = 10.4308 Å
α = 90.00°, β = 90.00°, γ = 116.98°
Last column: magnetic moment on the atom in μB.
Element x y z (fractional)
Cl  0.0000  0.0000  0.3239  0.04
Cl  0.0000  0.0000  0.6761  0.04
Br  0.5000  0.0000  0.0000  0.00
Tc  0.5000  0.0000  0.5000  1.50

**Crystal system**: orthorhombic
**Formation energy from raw total energies**: -0.03 eV per atom
**ΔE to the lowest computed polymorph**: 122 meV per atom
**Symmetry**: Cmmm, No. 65

=====

This record from Alexandria describes Tc2BrCl at its PBEsol-relaxed geometry. The functional is SCAN.

a = 2.9620 Å, b = 2.9620 Å, c = 9.2475 Å
α = 80.78°, β = 80.78°, γ = 60.00°
Element x y z (fractional)
Cl  0.2701  0.2701  0.1897
Tc  0.7438  0.7438  0.7687
Tc  0.0029  0.0029  0.9913
Br  0.4832  0.4832  0.5503

**Crystal system**: trigonal
**Formation energy from raw total energies**: 0.18 eV per atom
**ΔE to the lowest computed polymorph**: 88 meV per atom
**Symmetry**: R3m, No. 160

=====

This record from Alexandria describes TcBrCl2 at its PBEsol-relaxed geometry. The functional is SCAN.

a = 3.1792 Å, b = 3.1792 Å, c = 9.3841 Å
α = 80.25°, β = 80.25°, γ = 60.00°
Element x y z (fractional)
Tc  0.5000  0.5000  0.5000
Cl  0.7770  0.7770  0.6690
Cl  0.2230  0.2230  0.3310
Br  0.0000  0.0000  0.0000

**Crystal system**: trigonal
**Formation energy from raw total energies**: -0.15 eV per atom
**ΔE to the lowest computed polymorph**: 0 meV per atom
**Symmetry**: R-3m, No. 166

=====

This record from Alexandria describes TcBrCl2 at its PBEsol-relaxed geometry. The functional is SCAN.

a = 4.0877 Å, b = 4.5209 Å, c = 4.5209 Å
α = 90.00°, β = 90.00°, γ = 90.00°
Last column: magnetic moment on the atom in μB.
Element x y z (fractional)
Cl  0.0000  0.5000  0.0000  0.05
Cl  0.0000  0.0000  0.5000  0.05
Br  0.5000  0.0000  0.0000  -0.02
Tc  0.5000  0.5000  0.5000  4.30

**Crystal system**: tetragonal
**Formation energy from raw total energies**: 0.53 eV per atom
**ΔE to the lowest computed polymorph**: 683 meV per atom
**Symmetry**: P4/mmm, No. 123

=====

Q: Which of these has the highest formation energy from raw total energies?
A: number 6

=====

Q: Which of these has the lowest formation energy from raw total energies?
A: TaBrCl3

=====

Please write out number 3 again, unchanged.
This record from Alexandria describes TcBrCl2 at its PBEsol-relaxed geometry. The functional is SCAN.

a = 2.8920 Å, b = 3.1868 Å, c = 10.4308 Å
α = 90.00°, β = 90.00°, γ = 116.98°
Last column: magnetic moment on the atom in μB.
Element x y z (fractional)
Cl  0.0000  0.0000  0.3239  0.04
Cl  0.0000  0.0000  0.6761  0.04
Br  0.5000  0.0000  0.0000  0.00
Tc  0.5000  0.0000  0.5000  1.50

**Crystal system**: orthorhombic
**Formation energy from raw total energies**: -0.03 eV per atom
**ΔE to the lowest computed polymorph**: 122 meV per atom
**Symmetry**: Cmmm, No. 65

=====

Q: What is the formula in the second record?
A: TaBrCl3